Record 1
A relaxed ZnTeO crystal, computed with GGA-PBE.

Calculated values
- M_tot (μB per formula unit) = 0.00
- formation energy from raw total energies (eV per atom) = -0.66
- symmetry = Cm
- density of states at the Fermi level (states/eV/f.u.) = 1.36

a = 3.1433 Å, b = 3.1415 Å, c = 7.2208 Å
α = 90.09°, β = 90.15°, γ = 67.27°
Sites, in units of the cell vectors:
Zn: 0.1914 0.0635 0.1313
Te: 0.1238 0.9947 0.6314
O: 0.5556 0.4272 0.1315

Record 2
A relaxed ZnTeO4 crystal, computed with GGA-PBE.

Calculated values
- M_tot (μB per formula unit) = 0.00
- formation energy from raw total energies (eV per atom) = -1.06
- symmetry = Pnc2
- density of states at the Fermi level (states/eV/f.u.) = 0.23

a = 4.6733 Å, b = 5.2362 Å, c = 5.6712 Å
α = 90.00°, β = 90.00°, γ = 90.00°
Sites, in units of the cell vectors:
O: 0.7910 0.6933 0.8821
O: 0.2090 0.3067 0.8821
O: 0.2563 0.8399 0.6095
O: 0.7437 0.1601 0.6095
O: 0.2437 0.8399 0.1095
O: 0.2910 0.3067 0.3821
O: 0.7563 0.1601 0.1095
O: 0.7090 0.6933 0.3821
Zn: 0.5000 0.5000 0.6690
Zn: 0.0000 0.5000 0.1690
Te: 0.5000 0.0000 0.3477
Te: 0.0000 0.0000 0.8477

Record 3
A relaxed ZnTe2O crystal, computed with GGA-PBE.

Calculated values
- M_tot (μB per formula unit) = 0.00
- formation energy from raw total energies (eV per atom) = -0.08
- symmetry = I-42d
- density of states at the Fermi level (states/eV/f.u.) = 0.64

a = 5.5343 Å, b = 5.5343 Å, c = 7.5600 Å
α = 68.53°, β = 68.53°, γ = 90.00°
Sites, in units of the cell vectors:
O: 0.5000 0.5000 0.0000
O: 0.2500 0.7500 0.5000
Zn: 0.0000 0.0000 0.0000
Zn: 0.7500 0.2500 0.5000
Te: 0.8750 0.7974 0.7500
Te: 0.3750 0.4526 0.7500
Te: 0.2026 0.6250 0.2500
Te: 0.5474 0.1250 0.2500

Record 4
A relaxed Zn2Te3O8 crystal, computed with GGA-PBE.

Calculated values
- M_tot (μB per formula unit) = 0.00
- formation energy from raw total energies (eV per atom) = -1.17
- symmetry = C2/c
- density of states at the Fermi level (states/eV/f.u.) = 0.00

a = 6.9434 Å, b = 6.9434 Å, c = 12.0571 Å
α = 81.06°, β = 81.06°, γ = 44.85°
Sites, in units of the cell vectors:
O: 0.7135 0.7534 0.5401
O: 0.2466 0.2865 0.9599
O: 0.8045 0.5865 0.8149
O: 0.1955 0.4135 0.1851
O: 0.7842 0.9871 0.1422
O: 0.4135 0.1955 0.6851
O: 0.8252 0.0120 0.8557
O: 0.1748 0.9880 0.1443
O: 0.5865 0.8045 0.3149
O: 0.0120 0.8252 0.3557
O: 0.9871 0.7842 0.6422
O: 0.0129 0.2158 0.3578
O: 0.9880 0.1748 0.6443
O: 0.7534 0.7135 0.0401
O: 0.2158 0.0129 0.8578
O: 0.2865 0.2466 0.4599
Te: 0.6605 0.0636 0.5537
Te: 0.3395 0.9364 0.4463
Te: 0.9364 0.3395 0.9463
Te: 0.1264 0.8736 0.7500
Te: 0.8736 0.1264 0.2500
Te: 0.0636 0.6605 0.0537
Zn: 0.0058 0.4487 0.6594
Zn: 0.5513 0.9942 0.8406
Zn: 0.4487 0.0058 0.1594
Zn: 0.9942 0.5513 0.3406

Record 5
A relaxed Zn2Te2O crystal, computed with GGA-PBE.

Calculated values
- M_tot (μB per formula unit) = 0.00
- formation energy from raw total energies (eV per atom) = 0.55
- symmetry = I4/mmm
- density of states at the Fermi level (states/eV/f.u.) = 6.64

a = 4.3775 Å, b = 4.3775 Å, c = 6.9755 Å
α = 71.71°, β = 71.71°, γ = 90.00°
Sites, in units of the cell vectors:
Te: 0.7500 0.2500 0.5000
Te: 0.2500 0.7500 0.5000
Zn: 0.4066 0.4066 0.1867
Zn: 0.5934 0.5934 0.8133
O: 0.0000 0.0000 0.0000

Record 6
A relaxed ZnTeO2 crystal, computed with GGA-PBE.

Calculated values
- M_tot (μB per formula unit) = 0.00
- formation energy from raw total energies (eV per atom) = -0.92
- symmetry = R-3m
- density of states at the Fermi level (states/eV/f.u.) = 0.73

a = 6.5531 Å, b = 6.5531 Å, c = 6.5531 Å
α = 28.17°, β = 28.17°, γ = 28.17°
Sites, in units of the cell vectors:
O: 0.8906 0.8906 0.8906
O: 0.1094 0.1094 0.1094
Te: 0.0000 0.0000 0.0000
Zn: 0.5000 0.5000 0.5000

Record 7
A relaxed ZnTeO2 crystal, computed with GGA-PBE.

Calculated values
- M_tot (μB per formula unit) = 0.00
- formation energy from raw total energies (eV per atom) = -0.34
- symmetry = R-3m
- density of states at the Fermi level (states/eV/f.u.) = 0.87

a = 7.1986 Å, b = 7.1986 Å, c = 7.1986 Å
α = 26.23°, β = 26.23°, γ = 26.23°
Sites, in units of the cell vectors:
Zn: 0.0000 0.0000 0.0000
O: 0.9119 0.9119 0.9119
O: 0.0881 0.0881 0.0881
Te: 0.5000 0.5000 0.5000

Record 8
A relaxed ZnTeO crystal, computed with GGA-PBE.

Calculated values
- M_tot (μB per formula unit) = 0.00
- formation energy from raw total energies (eV per atom) = -0.56
- symmetry = P1
- density of states at the Fermi level (states/eV/f.u.) = 0.61

a = 3.2247 Å, b = 4.4038 Å, c = 5.1332 Å
α = 105.00°, β = 106.33°, γ = 99.98°
Sites, in units of the cell vectors:
O: 0.3574 0.6979 0.0374
Zn: 0.9616 0.7055 0.2650
Te: 0.0373 0.3461 0.6150

Record 9
A relaxed ZnTeO4 crystal, computed with GGA-PBE.

Calculated values
- M_tot (μB per formula unit) = 0.00
- formation energy from raw total energies (eV per atom) = -1.04
- symmetry = C2/c

a = 5.0866 Å, b = 6.1492 Å, c = 6.6746 Å
α = 107.24°, β = 100.51°, γ = 115.55°
Sites, in units of the cell vectors:
Zn: 0.4961 0.7461 0.4922
Zn: 0.5039 0.2539 0.5078
Te: 0.8215 0.5715 0.1431
Te: 0.1785 0.4285 0.8569
O: 0.9855 0.6461 0.8984
O: 0.3319 0.4940 0.6273
O: 0.6681 0.5060 0.3727
O: 0.0145 0.3539 0.1016
O: 0.7955 0.1333 0.6273
O: 0.2045 0.8667 0.3727
O: 0.4129 0.2523 0.8984
O: 0.5871 0.7477 0.1016

Record 10
A relaxed ZnTe2O5 crystal, computed with GGA-PBE.

Calculated values
- M_tot (μB per formula unit) = 0.00
- formation energy from raw total energies (eV per atom) = -1.13
- symmetry = Pnma
- density of states at the Fermi level (states/eV/f.u.) = 0.00

a = 8.5162 Å, b = 9.2533 Å, c = 12.4057 Å
α = 90.00°, β = 90.00°, γ = 90.00°
Sites, in units of the cell vectors:
Zn: 0.5230 0.0100 0.3765
Zn: 0.4770 0.9900 0.6235
Zn: 0.0230 0.4900 0.6235
Zn: 0.4770 0.9900 0.8765
Zn: 0.5230 0.0100 0.1235
Zn: 0.0230 0.4900 0.8765
Zn: 0.9770 0.5100 0.3765
Zn: 0.9770 0.5100 0.1235
Te: 0.1576 0.8480 0.4828
Te: 0.8196 0.8208 0.2500
Te: 0.3424 0.3480 0.4828
Te: 0.8021 0.8976 0.7500
Te: 0.8424 0.1520 0.5172
Te: 0.6804 0.3208 0.2500
Te: 0.3196 0.6792 0.7500
Te: 0.6576 0.6520 0.5172
Te: 0.1576 0.8480 0.0172
Te: 0.3424 0.3480 0.0172
Te: 0.1804 0.1792 0.7500
Te: 0.1979 0.1024 0.2500
Te: 0.6576 0.6520 0.9828
Te: 0.3021 0.6024 0.2500
Te: 0.8424 0.1520 0.9828
Te: 0.6979 0.3976 0.7500
O: 0.8502 0.3085 0.8830
O: 0.8780 0.6143 0.9889
O: 0.1220 0.3856 0.4889
O: 0.8223 0.3372 0.3688
O: 0.0920 0.9896 0.3717
O: 0.6220 0.1144 0.9889
O: 0.1498 0.6915 0.1170
O: 0.5920 0.5104 0.8717
O: 0.6777 0.8372 0.1312
O: 0.3502 0.1915 0.3830
O: 0.6312 0.0313 0.7500
O: 0.5920 0.5104 0.6283
O: 0.3780 0.8856 0.4889
O: 0.1777 0.6628 0.8688
O: 0.8780 0.6143 0.5111
O: 0.8223 0.3372 0.1312
O: 0.8688 0.5313 0.7500
O: 0.1661 0.3863 0.7500
O: 0.0920 0.9896 0.1283
O: 0.3339 0.8863 0.7500
O: 0.1777 0.6628 0.6312
O: 0.8502 0.3085 0.6170
O: 0.9080 0.0104 0.6283
O: 0.6777 0.8372 0.3688
O: 0.6498 0.8085 0.8830
O: 0.4080 0.4896 0.3717
O: 0.9080 0.0104 0.8717
O: 0.1498 0.6915 0.3830
O: 0.3223 0.1628 0.8688
O: 0.3223 0.1628 0.6312
O: 0.6661 0.1137 0.2500
O: 0.6220 0.1144 0.5111
O: 0.8339 0.6137 0.2500
O: 0.6498 0.8085 0.6170
O: 0.3780 0.8856 0.0111
O: 0.3502 0.1915 0.1170
O: 0.3688 0.9687 0.2500
O: 0.4080 0.4896 0.1283
O: 0.1312 0.4687 0.2500
O: 0.1220 0.3856 0.0111

Record 11
A relaxed ZnTeO2 crystal, computed with GGA-PBE.

Calculated values
- M_tot (μB per formula unit) = 0.00
- formation energy from raw total energies (eV per atom) = -0.01
- symmetry = Fm-3m
- density of states at the Fermi level (states/eV/f.u.) = 2.07

a = 4.1854 Å, b = 4.1854 Å, c = 4.1854 Å
α = 60.00°, β = 60.00°, γ = 60.00°
Sites, in units of the cell vectors:
O: 0.2500 0.2500 0.2500
O: 0.7500 0.7500 0.7500
Te: 0.5000 0.5000 0.5000
Zn: 0.0000 0.0000 0.0000

Record 12
A relaxed ZnTe2O crystal, computed with GGA-PBE.

Calculated values
- M_tot (μB per formula unit) = 0.00
- formation energy from raw total energies (eV per atom) = 0.25
- symmetry = R-3m
- density of states at the Fermi level (states/eV/f.u.) = 2.22

a = 9.2864 Å, b = 9.2864 Å, c = 9.2864 Å
α = 20.10°, β = 20.10°, γ = 20.10°
Sites, in units of the cell vectors:
Te: 0.8993 0.8993 0.8993
Te: 0.1007 0.1007 0.1007
Zn: 0.0000 0.0000 0.0000
O: 0.5000 0.5000 0.5000

Record 13
A relaxed ZnTe2O2 crystal, computed with GGA-PBE.

Calculated values
- M_tot (μB per formula unit) = 0.00
- formation energy from raw total energies (eV per atom) = -0.26
- symmetry = P4/mbm
- density of states at the Fermi level (states/eV/f.u.) = 1.60

a = 7.2727 Å, b = 7.2727 Å, c = 4.0488 Å
α = 90.00°, β = 90.00°, γ = 90.00°
Sites, in units of the cell vectors:
Te: 0.6548 0.1548 0.0000
Te: 0.1548 0.3452 0.0000
Te: 0.8452 0.6548 0.0000
Te: 0.3452 0.8452 0.0000
O: 0.2004 0.2996 0.5000
O: 0.7004 0.2004 0.5000
O: 0.7996 0.7004 0.5000
O: 0.2996 0.7996 0.5000
Zn: 0.0000 0.0000 0.0000
Zn: 0.5000 0.5000 0.0000

Record 14
A relaxed Zn2Te2O7 crystal, computed with GGA-PBE.

Calculated values
- M_tot (μB per formula unit) = 0.00
- formation energy from raw total energies (eV per atom) = -1.00
- symmetry = C2/m

a = 5.7626 Å, b = 5.9008 Å, c = 5.7626 Å
α = 92.39°, β = 67.13°, γ = 87.61°
Sites, in units of the cell vectors:
Te: 0.2761 0.1441 0.7239
Te: 0.7239 0.8559 0.2761
O: 0.9175 0.6615 0.4106
O: 0.5780 0.1956 0.4220
O: 0.0000 0.0000 0.0000
O: 0.4220 0.8044 0.5780
O: 0.0825 0.3385 0.5894
O: 0.5894 0.6615 0.0825
O: 0.4106 0.3385 0.9175
Zn: 0.2716 0.5000 0.2716
Zn: 0.7284 0.5000 0.7284

Record 15
A relaxed ZnTe2O crystal, computed with GGA-PBE.

Calculated values
- M_tot (μB per formula unit) = 0.00
- formation energy from raw total energies (eV per atom) = -0.13
- symmetry = R-3m
- density of states at the Fermi level (states/eV/f.u.) = 1.37

a = 7.2289 Å, b = 7.2289 Å, c = 7.2289 Å
α = 34.57°, β = 34.57°, γ = 34.57°
Sites, in units of the cell vectors:
Te: 0.9010 0.9010 0.9010
Te: 0.0990 0.0990 0.0990
O: 0.0000 0.0000 0.0000
Zn: 0.5000 0.5000 0.5000

Record 16
A relaxed ZrZnTeO6 crystal, computed with GGA-PBE.

Calculated values
- M_tot (μB per formula unit) = 0.00
- formation energy from raw total energies (eV per atom) = -1.73
- symmetry = P-31c
- density of states at the Fermi level (states/eV/f.u.) = 0.00

a = 5.3592 Å, b = 5.3592 Å, c = 9.0321 Å
α = 90.00°, β = 90.00°, γ = 120.00°
Sites, in units of the cell vectors:
O: 0.0240 0.6610 0.8683
O: 0.6369 0.9760 0.8683
O: 0.3390 0.9760 0.6317
O: 0.6369 0.6610 0.6317
O: 0.3631 0.0240 0.1317
O: 0.9760 0.3390 0.1317
O: 0.0240 0.3631 0.6317
O: 0.6610 0.0240 0.3683
O: 0.3631 0.3390 0.3683
O: 0.3390 0.3631 0.8683
O: 0.6610 0.6369 0.1317
O: 0.9760 0.6369 0.3683
Zr: 0.3333 0.6667 0.2500
Zr: 0.6667 0.3333 0.7500
Zn: 0.0000 0.0000 0.5000
Zn: 0.0000 0.0000 0.0000
Te: 0.6667 0.3333 0.2500
Te: 0.3333 0.6667 0.7500

Record 17
A relaxed ZrTeO crystal, computed with GGA-PBE.

Calculated values
- M_tot (μB per formula unit) = 0.00
- formation energy from raw total energies (eV per atom) = -1.68
- symmetry = I4_1md
- density of states at the Fermi level (states/eV/f.u.) = 0.70

a = 3.1599 Å, b = 3.1600 Å, c = 11.5761 Å
α = 97.84°, β = 97.84°, γ = 90.00°
Sites, in units of the cell vectors:
O: 0.3820 0.3798 0.7640
O: 0.1320 0.6312 0.2640
Zr: 0.6190 0.1180 0.2379
Zr: 0.8689 0.8667 0.7379
Te: 0.7572 0.2555 0.5144
Te: 0.0072 0.0070 0.0144

Record 18
A relaxed Zr2TeO crystal, computed with GGA-PBE.

Calculated values
- M_tot (μB per formula unit) = 0.00
- formation energy from raw total energies (eV per atom) = -0.78
- symmetry = Fm-3m
- density of states at the Fermi level (states/eV/f.u.) = 0.63

a = 4.7013 Å, b = 4.7013 Å, c = 4.7013 Å
α = 60.00°, β = 60.00°, γ = 60.00°
Sites, in units of the cell vectors:
O: 0.0000 0.0000 0.0000
Te: 0.5000 0.5000 0.5000
Zr: 0.7500 0.7500 0.7500
Zr: 0.2500 0.2500 0.2500

Record 19
A relaxed Zr2TeO crystal, computed with GGA-PBE.

Calculated values
- M_tot (μB per formula unit) = 0.00
- formation energy from raw total energies (eV per atom) = -1.25
- symmetry = I-42d
- density of states at the Fermi level (states/eV/f.u.) = 1.04

a = 5.4877 Å, b = 5.4877 Å, c = 7.2214 Å
α = 67.67°, β = 67.67°, γ = 90.00°
Sites, in units of the cell vectors:
Zr: 0.3750 0.5031 0.7500
Zr: 0.4969 0.1250 0.2500
Zr: 0.8750 0.7469 0.7500
Zr: 0.2531 0.6250 0.2500
Te: 0.7500 0.2500 0.5000
Te: 0.0000 0.0000 0.0000
O: 0.5000 0.5000 0.0000
O: 0.2500 0.7500 0.5000

Record 20
A relaxed ZrTeO2 crystal, computed with GGA-PBE.

Calculated values
- M_tot (μB per formula unit) = 0.00
- formation energy from raw total energies (eV per atom) = -0.75
- symmetry = R-3m
- density of states at the Fermi level (states/eV/f.u.) = 2.33

a = 5.9804 Å, b = 5.9804 Å, c = 5.9804 Å
α = 37.38°, β = 37.38°, γ = 37.38°
Sites, in units of the cell vectors:
O: 0.1233 0.1233 0.1233
O: 0.8767 0.8767 0.8767
Zr: 0.0000 0.0000 0.0000
Te: 0.5000 0.5000 0.5000

Record 21
A relaxed ZrTe2O crystal, computed with GGA-PBE.

Calculated values
- M_tot (μB per formula unit) = 0.00
- formation energy from raw total energies (eV per atom) = -0.59
- symmetry = R-3m
- density of states at the Fermi level (states/eV/f.u.) = 0.64

a = 7.8789 Å, b = 7.8789 Å, c = 7.8789 Å
α = 29.76°, β = 29.76°, γ = 29.76°
Sites, in units of the cell vectors:
O: 0.0000 0.0000 0.0000
Te: 0.0903 0.0903 0.0903
Te: 0.9097 0.9097 0.9097
Zr: 0.5000 0.5000 0.5000

Record 22
A relaxed ZrTeO2 crystal, computed with GGA-PBE.

Calculated values
- M_tot (μB per formula unit) = 0.00
- formation energy from raw total energies (eV per atom) = -2.19
- symmetry = R-3m
- density of states at the Fermi level (states/eV/f.u.) = 1.28

a = 9.1713 Å, b = 9.1713 Å, c = 9.1713 Å
α = 20.37°, β = 20.37°, γ = 20.37°
Sites, in units of the cell vectors:
Te: 0.0000 0.0000 0.0000
Zr: 0.5000 0.5000 0.5000
O: 0.8703 0.8703 0.8703
O: 0.1297 0.1297 0.1297